1.
Below is an optimized crystal structure of Sc3TcGe3, with properties calculated at the PBE level.

The structure in extended XYZ format:
```
14
Lattice="-3.390 2.141 0.563 -4.390 -3.331 0.789 0.127 0.685 12.716" Properties=species:S:1:pos:R:3 pbc="T T T"
Sc -3.151 0.433 8.494
Sc -4.502 -0.938 5.574
Sc -1.942 -0.099 3.238
Sc -5.711 -0.406 10.830
Sc -2.465 0.553 12.170
Sc -5.188 -1.057 1.898
Tc -2.822 1.698 5.668
Tc -4.831 -2.202 8.400
Ge -5.985 -0.109 8.048
Ge -1.668 -0.396 6.020
Ge -3.917 -1.833 12.501
Ge -3.736 1.328 1.567
Ge -6.902 -0.540 4.169
Ge -0.751 0.036 9.899
```


2.
Below is an optimized crystal structure of ScTcGe, with properties calculated at the PBE level.

## Properties
E above lowest polymorph   195 meV per atom

The structure in extended XYZ format:
```
12
Lattice="6.339 0.000 0.000 0.000 4.382 0.000 0.000 0.000 7.648" Properties=species:S:1:pos:R:3 pbc="T T T"
Sc 0.000 2.191 2.963
Sc 3.170 0.000 6.787
Sc 0.000 0.000 6.085
Sc 3.170 2.191 2.261
Tc 5.182 0.000 1.303
Tc 1.158 0.000 1.303
Tc 2.012 2.191 5.127
Tc 4.328 2.191 5.127
Ge 1.744 0.000 3.799
Ge 4.596 0.000 3.799
Ge 4.913 2.191 7.623
Ge 1.426 2.191 7.623
```


3.
Below is an optimized crystal structure of ScTc3Ge3, with properties calculated at the PBE level.

The structure in extended XYZ format:
```
14
Lattice="-6.081 -2.490 1.544 2.025 -6.143 -1.932 2.118 -1.278 6.281" Properties=species:S:1:pos:R:3 pbc="T T T"
Sc -0.969 -4.955 2.946
Sc 0.000 0.000 0.000
Ge 1.565 -2.175 2.657
Ge 2.577 -5.246 1.691
Ge -1.452 -2.203 5.483
Ge -3.549 -4.939 0.192
Ge -2.511 -1.564 2.342
Ge -0.508 -3.694 -0.580
Tc -0.461 -1.261 3.526
Tc 1.542 -3.391 0.604
Tc -1.522 -5.852 -0.677
Tc -3.502 -2.506 4.298
Tc 2.601 -4.030 3.745
Tc -2.534 -2.781 0.289
```


4.
Below is an optimized crystal structure of ScTcGe, with properties calculated at the PBE level.

## Properties
E above lowest polymorph   103 meV per atom

The structure in extended XYZ format:
```
12
Lattice="-3.689 -1.587 -5.423 3.480 -1.372 -1.965 2.247 -5.375 7.729" Properties=species:S:1:pos:R:3 pbc="T T T"
Sc -1.551 -3.489 -0.311
Sc 0.109 -3.472 2.617
Sc 1.312 -6.863 2.571
Sc 0.726 -1.471 -2.230
Tc 0.058 -0.941 0.760
Tc -1.500 -6.021 1.547
Tc 2.921 -4.314 3.642
Tc -0.883 -4.019 -3.301
Ge 0.819 -4.926 4.889
Ge -2.261 -2.035 -2.583
Ge 1.436 -2.925 0.042
Ge 0.602 -5.409 0.299
```


5.
Below is an optimized crystal structure of Sc2TcGe2, with properties calculated at the PBE level.

## Properties
E above lowest polymorph   0 meV per atom

The structure in extended XYZ format:
```
10
Lattice="-6.563 -0.185 -1.360 -0.967 -4.095 5.221 -0.569 3.098 2.324" Properties=species:S:1:pos:R:3 pbc="T T T"
Sc -2.082 -1.245 4.447
Sc -5.510 -1.956 4.555
Sc -6.017 0.063 1.739
Sc -2.590 0.774 1.630
Ge -3.247 -3.618 4.027
Ge -6.302 -2.753 2.126
Ge -4.283 -0.662 -0.167
Ge -1.228 -1.527 1.735
Tc 0.000 0.000 0.000
Tc -3.765 -2.140 1.930
```


6.
Below is an optimized crystal structure of ScTcGe2, with properties calculated at the PBE level.

## Properties
E above lowest polymorph   215 meV per atom

The structure in extended XYZ format:
```
4
Lattice="-1.498 2.267 3.589 -4.145 -0.767 1.578 -0.555 -2.121 3.932" Properties=species:S:1:pos:R:3 pbc="T T T"
Sc 0.000 0.000 0.000
Ge -1.550 -0.155 2.275
Ge -4.649 -0.466 6.824
Tc -3.099 -0.310 4.549
```


no.,DFT formation energy (kcal/mol of atoms),size of the total moment (μB/f.u.),energy (eV/atom)
1,-16.0,0.00,-6.87
2,-9.6,0.00,-7.52
3,14.2,2.62,-6.71
4,-11.8,0.00,-7.62
5,-16.5,0.00,-7.17
6,-8.5,0.00,-6.85